## Er6Pu (PBE)

Data for crystalline Er6Pu at its relaxed geometry. Values from VASP.

Cell and atoms, written as Quantum ESPRESSO input:
```
&SYSTEM
  ibrav = 0, nat = 14, ntyp = 2
/
ATOMIC_SPECIES
Er 167.26 Er.upf
Pu 244.00 Pu.upf
CELL_PARAMETERS angstrom
6.360 0.000 0.000
0.000 6.360 0.000
0.000 0.000 11.143
ATOMIC_POSITIONS crystal
Er 0.081 0.581 0.135
Er 0.081 0.919 0.865
Er 0.250 0.250 0.358
Er 0.250 0.250 0.642
Er 0.419 0.581 0.865
Er 0.419 0.919 0.135
Er 0.581 0.081 0.865
Er 0.581 0.419 0.135
Er 0.750 0.750 0.358
Er 0.750 0.750 0.642
Er 0.919 0.081 0.135
Er 0.919 0.419 0.865
Pu 0.250 0.750 0.500
Pu 0.750 0.250 0.500
```

Summary:
Total energy: -5.59 eV per atom
Calculated volume: 32.2 A^3/atom
Symmetry: P4/nbm (125)
Magnetization: 7.30 μB per formula unit
Formation enthalpy at 0 K: 0.363 eV per atom



## KPrPb4 (PBE)

Data for crystalline KPrPb4 at its relaxed geometry. Values from VASP.

Cell and atoms, written as Quantum ESPRESSO input:
```
&SYSTEM
  ibrav = 0, nat = 6, ntyp = 3
/
ATOMIC_SPECIES
K 39.10 K.upf
Pr 140.91 Pr.upf
Pb 207.20 Pb.upf
CELL_PARAMETERS angstrom
0.000 4.649 4.649
4.649 0.000 4.649
4.649 4.649 0.000
ATOMIC_POSITIONS crystal
K 0.000 0.000 0.000
Pr 0.750 0.750 0.750
Pb 0.376 0.376 0.376
Pb 0.376 0.376 0.871
Pb 0.376 0.871 0.376
Pb 0.871 0.376 0.376
```

Summary:
Total energy: -3.65 eV per atom
Calculated volume: 33.5 A^3/atom
Symmetry: F-43m (216)
Magnetization: 0.00 μB per formula unit
Formation enthalpy at 0 K: -0.203 eV per atom



| no. | DOS(E_F) (states/eV per atom) |
| --- | --- |
| 1 | 2.45 |
| 2 | 0.01 |